Entry 1:
The following is a DFT calculation (GGA-PBE) of BaRe2Pt after structural relaxation.

The structure belongs to space group P2/m (No. 10); the cell edges are 4.074, 4.670 and 5.635 Å and the angles 90.00°, 102.59° and 90.00°. Symmetry generates all atoms from Ba at (0.000, 0.000, 0.000), Re at (0.277, 0.500, 0.614) and Pt at (0.500, 0.000, 0.500).

The calculation puts the energy relative to the lowest polymorph listed for this composition at 344 meV per atom. The energy relative to the elements is 0.641 eV per atom. The calculation puts the total energy at -7.5743 eV per atom. For the total magnetic moment, the calculation gives 0.000 μB/cell.

=====

Entry 2:
The following is a DFT calculation (GGA-PBE) of BaRePt2 after structural relaxation.

The structure belongs to space group R-3m (No. 166, hexagonal axes); the cell edges are 4.4755, 4.4755 and 17.3366 Å and the angles 90.00°, 90.00° and 120.00°. Symmetry generates all atoms from Ba at (0.0000, 0.0000, 0.0000), Re at (0.0000, 0.0000, 0.5000) and Pt at (0.0000, 0.0000, 0.1921).

The calculation puts the energy relative to the lowest polymorph listed for this composition at 0 meV per atom. The energy relative to the elements is -0.183 eV per atom. The calculation puts the total energy at -6.7961 eV per atom. For the total magnetic moment, the calculation gives 0.000 μB/cell.

=====

Entry 3:
The following is a DFT calculation (GGA-PBE) of BaRePt2 after structural relaxation.

The structure belongs to space group Cm (No. 8); the cell edges are 7.795, 4.500 and 6.402 Å and the angles 90.00°, 114.04° and 90.00°. Symmetry generates all atoms from Ba at (0.000, 0.000, 0.000), Re at (0.317, 0.500, 0.449), Pt at (0.187, 0.000, 0.558) and Pt at (0.482, 0.000, 0.444).

The calculation puts the energy relative to the lowest polymorph listed for this composition at 62 meV per atom. The energy relative to the elements is -0.121 eV per atom. The calculation puts the total energy at -6.7344 eV per atom. For the total magnetic moment, the calculation gives 0.000 μB/cell.

=====

Entry 4:
The following is a DFT calculation (GGA-PBE) of BaRePt after structural relaxation.

The structure belongs to space group P3m1 (No. 156); the cell edges are 3.0601, 3.0601 and 7.9162 Å and the angles 90.00°, 90.00° and 120.00°. Symmetry generates all atoms from Ba at (0.0000, 0.0000, 0.0000), Re at (0.3333, 0.6667, 0.6249) and Pt at (0.6667, 0.3333, 0.3734).

The calculation puts the energy relative to the lowest polymorph listed for this composition at 606 meV per atom. The energy relative to the elements is 0.994 eV per atom. The calculation puts the total energy at -5.8103 eV per atom. For the total magnetic moment, the calculation gives 0.000 μB/cell.

=====

Entry 5:
The following is a DFT calculation (GGA-PBE) of BaRe2Pt after structural relaxation.

The structure belongs to space group R-3m (No. 166, hexagonal axes); the cell edges are 4.4802, 4.4802 and 17.6900 Å and the angles 90.00°, 90.00° and 120.00°. Symmetry generates all atoms from Ba at (0.0000, 0.0000, 0.0000), Re at (0.0000, 0.0000, 0.1855) and Pt at (0.0000, 0.0000, 0.5000).

The calculation puts the energy relative to the lowest polymorph listed for this composition at 62 meV per atom. The energy relative to the elements is 0.359 eV per atom. The calculation puts the total energy at -7.8559 eV per atom. For the total magnetic moment, the calculation gives 0.000 μB/cell.

=====

Entry 6:
The following is a DFT calculation (GGA-PBE) of BaTlRe2Pt after structural relaxation.

The structure belongs to space group P4/mmm (No. 123); the cell edges are 5.096, 5.096 and 6.283 Å and the angles 90.00°, 90.00° and 90.00°. Symmetry generates all atoms from Ba at (0.000, 0.000, 0.000), Tl at (0.000, 0.000, 0.500), Re at (0.000, 0.500, 0.500) and Pt at (0.500, 0.500, 0.000).

The energy relative to the elements is 2.408 eV per atom. The calculation puts the total energy at -4.6377 eV per atom. For the total magnetic moment, the calculation gives 6.080 μB/cell.

=====

Entry 7:
The following is a DFT calculation (GGA-PBE) of BaRe2PtW after structural relaxation.

The structure belongs to space group P4/mmm (No. 123); the cell edges are 4.746, 4.746 and 5.761 Å and the angles 90.00°, 90.00° and 90.00°. Symmetry generates all atoms from Ba at (0.000, 0.000, 0.000), Re at (0.000, 0.500, 0.500), Pt at (0.500, 0.500, 0.000) and W at (0.000, 0.000, 0.500).

The energy relative to the elements is 2.025 eV per atom. The calculation puts the total energy at -7.1376 eV per atom. For the total magnetic moment, the calculation gives 0.097 μB/cell.

=====

Entry 8:
The following is a DFT calculation (GGA-PBE) of BaZrRePt2 after structural relaxation.

The structure belongs to space group P4/mmm (No. 123); the cell edges are 5.049, 5.049 and 5.315 Å and the angles 90.00°, 90.00° and 90.00°. Symmetry generates all atoms from Ba at (0.000, 0.000, 0.000), Zr at (0.000, 0.000, 0.500), Re at (0.500, 0.500, 0.500) and Pt at (0.000, 0.500, 0.000).

The energy relative to the elements is 2.672 eV per atom. The calculation puts the total energy at -4.3286 eV per atom. For the total magnetic moment, the calculation gives 0.106 μB/cell.

=====

Entry 9:
The following is a DFT calculation (GGA-PBE) of BaPt2Rh after structural relaxation.

The structure belongs to space group R-3m (No. 166, hexagonal axes); the cell edges are 4.5240, 4.5240 and 16.5245 Å and the angles 90.00°, 90.00° and 120.00°. Symmetry generates all atoms from Ba at (0.0000, 0.0000, 0.0000), Pt at (0.0000, 0.0000, 0.1904) and Rh at (0.0000, 0.0000, 0.5000).

The energy relative to the elements is -0.432 eV per atom. The calculation puts the total energy at -5.7711 eV per atom. For the total magnetic moment, the calculation gives 0.000 μB/cell.

=====

Entry 10:
The following is a DFT calculation (GGA-PBE) of Ba8PtRh3 after structural relaxation.

The structure belongs to space group C2/m (No. 12); the cell edges are 15.352, 9.198 and 8.976 Å and the angles 90.00°, 123.55° and 90.00°. Symmetry generates all atoms from Ba at (0.009, 0.246, 0.244), Ba at (0.243, 0.000, 0.258), Ba at (0.246, 0.500, 0.265), Pt at (0.000, 0.500, 0.000), Rh at (0.000, 0.000, 0.000) and Rh at (0.250, 0.250, 0.500).

The energy relative to the elements is -0.275 eV per atom. The calculation puts the total energy at -3.8976 eV per atom. For the total magnetic moment, the calculation gives 0.000 μB/cell.

=====

Entry 11:
The following is a DFT calculation (GGA-PBE) of BaPtRh2 after structural relaxation.

The structure belongs to space group Fm-3m (No. 225); the cell edges are 6.800, 6.800 and 6.800 Å and the angles 90.00°, 90.00° and 90.00°. Symmetry generates all atoms from Ba at (0.000, 0.000, 0.000), Pt at (0.000, 0.000, 0.500) and Rh at (0.250, 0.250, 0.250).

The calculation puts the energy relative to the lowest polymorph listed for this composition at 583 meV per atom. The energy relative to the elements is 0.361 eV per atom. The calculation puts the total energy at -5.3057 eV per atom. For the total magnetic moment, the calculation gives 6.176 μB/cell.

=====

Entry 12:
The following is a DFT calculation (GGA-PBE) of BaPt2Rh after structural relaxation.

The structure belongs to space group I-42d (No. 122); the cell edges are 5.020, 5.020 and 17.505 Å and the angles 90.00°, 90.00° and 90.00°. Symmetry generates all atoms from Ba at (0.000, 0.000, 0.000), Pt at (0.048, 0.250, 0.625) and Rh at (0.000, 0.000, 0.500).

The energy relative to the elements is -0.191 eV per atom. The calculation puts the total energy at -5.5300 eV per atom. For the total magnetic moment, the calculation gives 0.000 μB/cell.